This record from Alexandria describes a relaxed structure of NaZrSnWO6. The functional is GGA+U.

abc: 5.7802 5.7802 5.7802
angles: 60.00 60.00 60.00
Site moments in Bohr magnetons follow the coordinates.
Sites, in units of the cell vectors:
Na  0.2500  0.2500  0.2500  0.00
Zr  0.0000  0.0000  0.0000  0.14
Sn  0.7500  0.7500  0.7500  0.03
W  0.5000  0.5000  0.5000  0.85
O  0.2576  0.7424  0.2576  -0.03
O  0.7424  0.2576  0.7424  -0.03
O  0.2576  0.7424  0.7424  -0.03
O  0.7424  0.2576  0.2576  -0.03
O  0.2576  0.2576  0.7424  -0.03
O  0.7424  0.7424  0.2576  -0.03

Calculated values
Fermi-level density of states: 2.0 states/eV per cell
V: 136.6 Å³/f.u.
calculated total energy: -7.19 eV per atom